(1)
# NiSb2Cl | Alexandria | PBE | relaxed
data_NiSb2Cl
_chemical_formula_sum 'Ni2 Sb4 Cl2'
_cell_length_a 3.546
_cell_length_b 5.657
_cell_length_c 9.028
_cell_angle_alpha 90.00
_cell_angle_beta 90.00
_cell_angle_gamma 90.00
_space_group_name_H-M_alt 'I m m m'
_space_group_IT_number 71
_space_group_name_Hall '-I 2 2'
loop_
_atom_site_label
_atom_site_fract_x
_atom_site_fract_y
_atom_site_fract_z
Ni1 0.000 0.000 0.000
Sb1 0.000 0.500 0.302
Cl1 0.000 0.000 0.500
# - Distance to the lowest polymorph of the same formula: 0.437 eV/atom
# - E_tot: -3.83 eV per atom
# - Total magnetic moment: 0.00 μB per formula unit
# - Formation energy (no corrections): 0.54 eV/f.u.



(2)
# Al2InSe | Alexandria | PBE | relaxed
data_Al2InSe
_chemical_formula_sum 'Al8 In4 Se4'
_cell_length_a 7.053
_cell_length_b 7.053
_cell_length_c 7.053
_cell_angle_alpha 90.00
_cell_angle_beta 90.00
_cell_angle_gamma 90.00
_space_group_name_H-M_alt 'F -4 3 m'
_space_group_IT_number 216
_space_group_name_Hall 'F -4 2 3'
loop_
_atom_site_label
_atom_site_fract_x
_atom_site_fract_y
_atom_site_fract_z
Al1 0.000 0.000 0.000
Al2 0.250 0.250 0.250
In1 0.250 0.250 0.750
Se1 0.000 0.000 0.500
# - Distance to the lowest polymorph of the same formula: 0.340 eV/atom
# - E_tot: -3.19 eV per atom
# - Total magnetic moment: 0.00 μB per formula unit
# - Formation energy (no corrections): 0.95 eV/f.u.